Record 1
DFT (PBE) results for a relaxed Ba2LiBi3Pt4 crystal.

Summary:
Space-group type   No. 115
Raw total energy   -47.76 eV for the cell shown

abc: 4.861 4.861 10.943
angles: 90.00 90.00 90.00
Fractional positions:
Ba1 0.500 0.000 0.249
Pt1 0.500 0.000 0.620
Bi1 0.500 0.000 0.873
Bi2 0.000 0.500 0.127
Li1 0.500 0.500 0.500
Pt2 0.000 0.500 0.380
Pt3 0.000 0.000 0.000
Bi3 0.000 0.000 0.500
Ba2 0.000 0.500 0.751
Pt4 0.500 0.500 0.000

***

Record 2
DFT (PBE) results for a relaxed Ba2Li3PuBi4 crystal.

Summary:
Space-group type   No. 115
Raw total energy   -45.68 eV for the cell shown

abc: 5.060 5.060 12.387
angles: 90.00 90.00 90.00
Each line ends with the local moment (μB).
Fractional positions:
Ba1 0.500 0.000 0.226  0.01
Li1 0.500 0.000 0.881  0.00
Bi1 0.500 0.000 0.651  -0.08
Bi2 0.000 0.500 0.349  -0.08
Pu1 0.500 0.500 0.500  5.52
Li2 0.000 0.000 0.500  0.01
Ba2 0.000 0.500 0.774  0.01
Bi3 0.000 0.000 0.000  -0.01
Li3 0.000 0.500 0.119  0.00
Bi4 0.500 0.500 0.000  -0.01

***

Record 3
DFT (PBE) results for a relaxed Rb2Ba2LiBi4 crystal.

Summary:
Space-group type   No. 139
Raw total energy   -27.51 eV for the cell shown

abc: 7.734 7.734 7.734
angles: 93.36 118.08 118.08
Fractional positions:
Bi1 0.000 0.248 0.752
Rb1 0.000 0.283 0.283
Bi2 0.000 0.752 0.248
Bi3 0.496 0.248 0.248
Ba1 0.500 0.750 0.250
Bi4 0.504 0.752 0.752
Ba2 0.500 0.250 0.750
Rb2 0.000 0.717 0.717
Li1 0.000 0.000 0.000

***

Record 4
DFT (PBE) results for a relaxed Ba2LiBi4Rh3 crystal.

Summary:
Space-group type   No. 115
Raw total energy   -48.29 eV for the cell shown

abc: 4.885 4.885 10.990
angles: 90.00 90.00 90.00
Fractional positions:
Ba1 0.000 0.500 0.745
Li1 0.500 0.500 0.500
Ba2 0.500 0.000 0.255
Rh1 0.500 0.000 0.877
Bi1 0.000 0.500 0.373
Bi2 0.500 0.000 0.627
Bi3 0.000 0.000 0.000
Rh2 0.000 0.000 0.500
Rh3 0.000 0.500 0.123
Bi4 0.500 0.500 0.000

***

Record 5
DFT (PBE) results for a relaxed BaLiBi2Rh crystal.

Summary:
Space-group type   No. 119
Raw total energy   -21.58 eV for the cell shown

abc: 4.769 4.769 6.899
angles: 110.22 110.22 90.00
Fractional positions:
Bi1 0.636 0.636 0.271
Li1 0.750 0.250 0.500
Bi2 0.364 0.364 0.729
Rh1 0.250 0.750 0.500
Ba1 0.000 0.000 0.000

***

Record 6
DFT (PBE) results for a relaxed Ba3Li2Bi4Rh2 crystal.

Summary:
Space-group type   No. 164
Raw total energy   -45.77 eV for the cell shown

abc: 4.785 4.785 17.391
angles: 90.00 90.00 120.00
Fractional positions:
Li1 0.333 0.667 0.138
Bi1 0.333 0.667 0.413
Bi2 0.667 0.333 0.139
Bi3 0.667 0.333 0.587
Ba1 0.000 0.000 0.000
Rh1 0.333 0.667 0.564
Ba2 0.000 0.000 0.721
Ba3 0.000 0.000 0.279
Rh2 0.667 0.333 0.436
Li2 0.667 0.333 0.862
Bi4 0.333 0.667 0.861

***

Number 1: theoretical density 10.8 g/cm3, N(E_F) 5.3 states/eV/cell, ΔH_f (0 K) -620 meV per atom. Number 2: theoretical density 7.2 g/cm3, N(E_F) 16.7 states/eV/cell, ΔH_f (0 K) -624 meV per atom. Number 3: theoretical density 6.4 g/cm3, N(E_F) 3.2 states/eV/cell, ΔH_f (0 K) -476 meV per atom. Number 4: theoretical density 9.0 g/cm3, N(E_F) 8.1 states/eV/cell, ΔH_f (0 K) -495 meV per atom. Number 5: theoretical density 8.1 g/cm3, N(E_F) 3.2 states/eV/cell, ΔH_f (0 K) -525 meV per atom. Number 6: theoretical density 7.1 g/cm3, N(E_F) 3.5 states/eV/cell, ΔH_f (0 K) -540 meV per atom.